DFT (GGA-PBE) results for an optimized crystal structure of BaPuPa4N8.

The structure in extended XYZ format:
```
14
Lattice="7.1542 0.0000 0.0000 3.5771 6.1957 0.0000 3.5771 2.0652 5.6797" Properties=species:S:1:pos:R:3 pbc="T T T"
Pu 3.5771 2.0652 5.6471
N 7.1542 6.6430 4.0650
N 9.3301 2.8742 4.0650
N 8.9626 5.1745 1.6096
N 5.3458 5.1745 1.6096
N 3.5771 2.0652 1.8019
N 10.7312 6.1957 4.0692
N 7.1542 2.0423 1.6096
N 4.9782 2.8742 4.0650
Ba 7.1542 4.1305 4.8248
Pa 3.5771 4.0919 2.8230
Pa 7.1542 4.1305 0.7625
Pa 5.3322 1.0519 2.8230
Pa 1.8219 1.0519 2.8230
```

Values from the calculation:
Its raw formation energy is -1.401 eV per atom.

DFT (GGA-PBE) results for an optimized crystal structure of Y8Ag2Rh.

The structure in extended XYZ format:
```
11
Lattice="-5.0476 1.1091 -3.1483 6.3895 3.3365 -5.2934 -1.3260 -8.3320 2.9662" Properties=species:S:1:pos:R:3 pbc="T T T"
Y -4.7605 -4.9882 -1.7494
Y 1.3235 -4.6376 -1.6750
Y -0.0544 2.1291 -6.7874
Y 0.7608 -1.2213 -1.0147
Y -2.7791 -2.0194 -1.7052
Y -0.9711 0.7150 -3.6407
Y 3.0816 -1.9788 -3.5571
Y -0.2139 -2.7807 -4.1281
Ag -1.5835 -4.5942 -0.8691
Ag 1.8457 0.5919 -4.5401
Rh -1.4432 0.2911 -0.9370
```

Values from the calculation:
For the energy above the lowest structure with this stoichiometry, the calculation gives 0.61 eV/f.u. The formation energy comes out at -208 meV per atom.

DFT (GGA-PBE) results for an optimized crystal structure of NdTm2Th.

The structure in extended XYZ format:
```
4
Lattice="-3.3906 0.9517 4.4369 1.2168 -2.2887 5.0368 1.7633 3.2953 4.2567" Properties=species:S:1:pos:R:3 pbc="T T T"
Nd -0.2053 0.9792 6.8652
Th 0.0000 0.0000 0.0000
Tm -0.1026 0.4896 3.4326
Tm -0.3079 1.4688 10.2978
```

Values from the calculation:
For the energy above the lowest structure with this stoichiometry, the calculation gives 0.42 eV/f.u. The formation energy comes out at 116 meV per atom.

DFT (GGA-PBE) results for an optimized crystal structure of PmPrNiAu.

The structure in extended XYZ format:
```
4
Lattice="-4.8572 -1.3897 0.9030 -1.2701 -4.9715 0.1009 -1.2435 -2.2411 4.4464" Properties=species:S:1:pos:R:3 pbc="T T T"
Ni -1.8427 -2.1506 1.3626
Pm 0.0000 0.0000 0.0000
Pr -3.6854 -4.3011 2.7252
Au -5.5281 -6.4517 4.0878
```

Values from the calculation:
For the energy above the lowest structure with this stoichiometry, the calculation gives 0.29 eV/f.u. The formation energy comes out at -457 meV per atom.

DFT (GGA-PBE) results for an optimized crystal structure of PrGa2.

The structure in extended XYZ format:
```
6
Lattice="-5.2204 -0.1191 2.2024 -4.3207 -2.0222 -3.0593 -2.3788 -4.9538 1.3850" Properties=species:S:1:pos:R:3 pbc="T T T"
Pr -2.9800 -1.7737 0.1320
Pr 0.0000 0.0000 0.0000
Ga -6.2605 -1.9575 -0.3625
Ga -7.4499 -4.4344 0.3300
Ga -4.8397 -4.3748 -0.7712
Ga -5.2896 -3.4233 1.8597
```

Values from the calculation:
The formation energy comes out at -563 meV per atom.

DFT (GGA-PBE) results for an optimized crystal structure of SrAc5Sn3.

The structure in extended XYZ format:
```
18
Lattice="-2.2955 -6.8365 1.1211 6.5962 -0.9403 7.7725 -9.4780 3.4646 1.7206" Properties=species:S:1:pos:R:3 pbc="T T T"
Sn -1.4400 -3.7594 9.7594
Sn -3.7374 -0.5527 0.8548
Sn -2.4936 -0.0274 6.6049
Sn 1.6280 -2.0230 2.8748
Sn 2.6727 -5.7537 6.0188
Sn -2.6838 -4.2847 4.0093
Sr 0.0000 0.0000 0.0000
Sr -1.1478 -3.4182 0.5605
Ac 0.0903 -2.8901 6.3158
Ac -5.2676 -1.4219 4.2984
Ac -0.2928 -0.3409 9.1992
Ac 0.4794 -5.4411 3.4344
Ac -3.6418 -3.4454 7.1659
Ac 1.2380 0.5281 5.7553
Ac -4.8846 -3.9711 1.4150
Ac 3.8212 -2.3356 5.4592
Ac -4.1199 1.9963 3.7378
Ac -1.5356 -0.8667 3.4483
```

Values from the calculation:
The formation energy comes out at -474 meV per atom.

DFT (GGA-PBE) results for an optimized crystal structure of DyHo2Rh2.

The structure in extended XYZ format:
```
10
Lattice="-3.0488 -0.5316 -2.3952 4.2195 -5.0967 -1.0428 -4.4789 -5.1065 6.8345" Properties=species:S:1:pos:R:3 pbc="T T T"
Ho -0.0177 -5.3087 -1.9962
Ho -1.8554 -8.0295 4.1438
Ho -2.3579 -4.3626 3.9696
Ho -2.2245 -3.5850 0.4302
Rh -1.7372 -2.0512 2.6665
Rh 0.6550 -3.3534 -0.0895
Rh -2.8511 -10.1430 2.6833
Rh -3.0338 -6.3217 2.0678
Dy -0.1347 -6.2382 1.5560
Dy -5.0917 -6.6834 4.7675
```

Values from the calculation:
For the energy above the lowest structure with this stoichiometry, the calculation gives 0.00 eV/f.u. The formation energy comes out at -718 meV per atom.

| no. | raw total energy (eV/cell) |
| --- | --- |
| 1 | -140.5 |
| 2 | -67.1 |
| 3 | -20.7 |
| 4 | -20.4 |
| 5 | -25.0 |
| 6 | -77.0 |
| 7 | -64.1 |